--- a ---
## Tb5DyEr (GGA-PBE)

Data for an optimized crystal structure of Tb5DyEr.

```
7
Lattice="6.1179 0.0000 0.0000 0.0000 7.9578 0.0000 -3.0590 -3.9789 5.8233" Properties=species:S:1:pos:R:3 pbc="T T T"
Tb 2.6589 3.9789 2.8573
Tb 2.6483 1.4205 0.0000
Tb -0.4000 0.0000 2.9661
Tb 1.0366 3.9789 0.0000
Tb 2.6483 6.5373 0.0000
Dy 5.7008 0.0000 0.0000
Er 4.2487 3.9789 0.0000
```

--- b ---
## Tb5DyEr (GGA-PBE)

Data for an optimized crystal structure of Tb5DyEr.

```
14
Lattice="6.1621 0.1736 2.7049 2.3629 5.6937 2.7049 0.9879 0.6799 13.4920" Properties=species:S:1:pos:R:3 pbc="T T T"
Tb 6.7551 4.5571 17.1009
Tb 3.7334 5.2889 12.8239
Tb 6.4695 5.3987 13.9542
Tb 3.3378 2.2052 8.5470
Tb 3.0435 1.1485 4.9476
Tb 2.7579 1.9901 1.8010
Tb 6.8593 3.7747 7.2083
Tb 6.1752 4.3420 10.3549
Tb 5.7796 1.2582 6.0779
Tb 2.6537 2.7725 11.6936
Dy 5.8435 2.2230 12.8239
Dy 3.6694 4.3242 6.0779
Er 0.4939 0.3400 6.7460
Er 0.0000 0.0000 0.0000
```

The structure shown above that is most stable: b.